No. 1
Sr2GdBi (PBE-GGA, optimized geometry); calculated volume = 166.7 Å³/cell; energy relative to the elements = 0.002 eV/atom; D(E_F) = 1.6336 states/eV per atom; total moment = 7.9 μB/f.u.
1.0
1.974 1.140 12.343
-1.974 1.140 12.343
0.000 -2.280 12.343
Sr Gd Bi
2 1 1
direct
0.098 0.098 0.098
0.902 0.902 0.902
0.000 0.000 0.000
0.500 0.500 0.500



No. 2
TbGd2Bi (PBE-GGA, optimized geometry); calculated volume = 132.9 Å³/cell; energy relative to the elements = 0.012 eV/atom; D(E_F) = 1.3033 states/eV per atom; energy relative to the lowest polymorph listed for this composition = 406 meV per atom; total moment = 14.6 μB/f.u.
1.0
1.777 1.026 12.150
-1.777 1.026 12.150
0.000 -2.052 12.150
Tb Gd Bi
1 2 1
direct
0.000 0.000 0.000
0.412 0.412 0.412
0.588 0.588 0.588
0.500 0.500 0.500



No. 3
TbGdBi (PBE-GGA, optimized geometry); calculated volume = 90.0 Å³/cell; energy relative to the elements = -0.513 eV/atom; D(E_F) = 0.8288 states/eV per atom; energy relative to the lowest polymorph listed for this composition = 0 meV per atom; total moment = 8.1 μB/f.u.
1.0
-2.045 2.045 5.378
2.045 -2.045 5.378
2.045 2.045 -5.378
Tb Gd Bi
1 1 1
direct
0.000 0.000 0.000
0.314 0.314 0.000
0.654 0.654 0.000



No. 4
TbGd2Bi (PBE-GGA, optimized geometry); calculated volume = 122.7 Å³/cell; energy relative to the elements = -0.394 eV/atom; D(E_F) = 1.3061 states/eV per atom; energy relative to the lowest polymorph listed for this composition = 0 meV per atom; total moment = 15.9 μB/f.u.
1.0
4.118 0.000 0.000
0.000 4.118 0.000
0.000 0.000 7.235
Tb Gd Bi
1 2 1
direct
0.000 0.000 0.000
0.500 0.500 0.272
0.500 0.500 0.728
0.000 0.000 0.500



No. 5
TbGd2Bi (PBE-GGA, optimized geometry); calculated volume = 118.2 Å³/cell; energy relative to the elements = -0.391 eV/atom; D(E_F) = 1.4475 states/eV per atom; energy relative to the lowest polymorph listed for this composition = 3 meV per atom; total moment = 15.2 μB/f.u.
1.0
4.883 0.000 0.000
0.000 4.883 0.000
0.000 0.000 4.957
Tb Gd Bi
1 2 1
direct
0.000 0.000 0.000
0.000 0.500 0.500
0.500 0.000 0.500
0.500 0.500 0.000



No. 6
TbGdBi (PBE-GGA, optimized geometry); calculated volume = 94.2 Å³/cell; energy relative to the elements = -0.292 eV/atom; D(E_F) = 1.2564 states/eV per atom; energy relative to the lowest polymorph listed for this composition = 221 meV per atom; total moment = 7.4 μB/f.u.
1.0
5.280 0.000 0.000
-2.640 4.573 0.000
0.000 0.000 3.900
Tb Gd Bi
1 1 1
direct
0.000 0.000 0.000
0.667 0.333 0.537
0.333 0.667 0.257



No. 7
TbGdBiTe (PBE-GGA, optimized geometry); formation energy (no corrections) = -89.6 kJ per mole of atoms; calculated volume = 114.9 Å³/cell; D(E_F) = 1.0830 states/eV per atom; total moment = 7.9 μB/f.u.
1.0
0.000 3.858 3.858
3.858 0.000 3.858
3.858 3.858 0.000
Tb Gd Bi Te
1 1 1 1
direct
0.000 0.000 0.000
0.500 0.500 0.500
0.250 0.250 0.250
0.750 0.750 0.750



No. 8
GdThBi (PBE-GGA, optimized geometry); calculated volume = 95.7 Å³/cell; energy relative to the elements = -0.135 eV/atom; D(E_F) = 1.6413 states/eV per atom; energy relative to the lowest polymorph listed for this composition = 226 meV per atom; total moment = 8.1 μB/f.u.
1.0
5.538 0.000 0.000
-2.769 4.796 0.000
0.000 0.000 3.603
Gd Th Bi
1 1 1
direct
0.000 0.000 0.000
0.333 0.667 0.467
0.667 0.333 0.771